An optimized crystal structure of Li2Mg8Al3. Source: Alexandria, functional PBE.

a b c (Å): 10.8609 10.8609 10.8609
angles (deg): 30.56 30.56 30.56
Fractional coordinates of all 13 atoms:
1 Li 0.1356 0.1356 0.1356
2 Li 0.8644 0.8644 0.8644
3 Mg 0.2223 0.2223 0.7235
4 Mg 0.2223 0.7235 0.2223
5 Mg 0.2228 0.2228 0.2228
6 Mg 0.2765 0.7777 0.7777
7 Mg 0.7235 0.2223 0.2223
8 Mg 0.7772 0.7772 0.7772
9 Mg 0.7777 0.2765 0.7777
10 Mg 0.7777 0.7777 0.2765
11 Al 0.3135 0.3135 0.3135
12 Al 0.5000 0.5000 0.5000
13 Al 0.6865 0.6865 0.6865

formation energy from the elements = 0.16 eV per atom
symmetry = No. 166